Entry 1:
A relaxed Pr4Pt2N crystal. Source: Alexandria, functional PBE-GGA.

Summary:
D(E_F) in states/eV/atom: 0.970
ΔE_f (raw) in eV per atom: -0.891
V in Å³ per cell: 360.38

a = 4.928 Å, b = 4.928 Å, c = 14.838 Å
α = 90.00°, β = 90.00°, γ = 90.00°
Space group I4/mmm (No. 139)
One atom of each set of equivalent atoms:
Pr (0.000, 0.000, 0.179) [4 per cell]
Pr (0.000, 0.500, 0.000) [4 per cell]
Pt (0.000, 0.000, 0.370) [4 per cell]
N (0.000, 0.000, 0.000) [2 per cell]

Entry 2:
A relaxed Li2TbHo3Se6 crystal. Source: Alexandria, functional PBE-GGA.

Summary:
D(E_F) in states/eV/atom: 0.218
ΔE_f (raw) in eV per atom: -1.727
V in Å³ per cell: 555.85

a = 6.976 Å, b = 12.078 Å, c = 6.996 Å
α = 90.00°, β = 109.45°, γ = 90.00°
Space group C2/m (No. 12)
One atom of each set of equivalent atoms:
Li (0.000, 0.168, 0.000) [4 per cell]
Tb (0.000, 0.500, 0.000) [2 per cell]
Ho (0.000, 0.000, 0.500) [2 per cell]
Ho (0.000, 0.334, 0.500) [4 per cell]
Se (0.241, 0.000, 0.245) [4 per cell]
Se (0.249, 0.170, 0.756) [8 per cell]

Entry 3:
A relaxed Th6Hg3PC2 crystal. Source: Alexandria, functional PBE-GGA.

Summary:
D(E_F) in states/eV/atom: 0.965
Energy of formation from the pure elements in eV/atom: -0.44
V in Å³ per cell: 622.28

a = 6.725 Å, b = 11.616 Å, c = 8.270 Å
α = 90.00°, β = 105.60°, γ = 90.00°
Space group C2/m (No. 12)
One atom of each set of equivalent atoms:
Th (0.204, 0.000, 0.181) [4 per cell]
Th (0.240, 0.322, 0.190) [8 per cell]
Hg (0.000, 0.000, 0.500) [2 per cell]
Hg (0.000, 0.352, 0.500) [4 per cell]
P (0.000, 0.500, 0.000) [2 per cell]
C (0.000, 0.171, 0.000) [4 per cell]

Entry 4:
A relaxed AlReAg2 crystal. Source: Alexandria, functional PBE-GGA.

Summary:
D(E_F) in states/eV/atom: 0.786
Energy of formation from the pure elements in eV/atom: 0.30
V in Å³ per cell: 65.45

a = 2.761 Å, b = 3.992 Å, c = 5.938 Å
α = 90.00°, β = 90.00°, γ = 90.00°
Space group Pmm2 (No. 25)
One atom of each set of equivalent atoms:
Al (0.000, 0.000, 0.000) [1 per cell]
Re (0.500, 0.500, 0.196) [1 per cell]
Ag (0.000, 0.000, 0.467) [1 per cell]
Ag (0.500, 0.500, 0.718) [1 per cell]

Entry 5:
A relaxed Tb7NdSc4 crystal. Source: Alexandria, functional PBE-GGA.

Summary:
D(E_F) in states/eV/atom: 1.378
Energy of formation from the pure elements in eV/atom: 0.02
V in Å³ per cell: 354.79

a = 6.060 Å, b = 7.000 Å, c = 8.608 Å
α = 90.01°, β = 103.65°, γ = 90.06°
Space group P-1 (No. 2)
One atom of each set of equivalent atoms:
Tb (0.000, 0.000, 0.000) [1 per cell]
Tb (0.225, 0.501, 0.663) [2 per cell]
Tb (0.285, 0.243, 0.341) [2 per cell]
Tb (0.498, 0.756, 0.006) [2 per cell]
Nd (0.000, 0.500, 0.000) [1 per cell]
Sc (0.216, 0.999, 0.660) [2 per cell]
Sc (0.274, 0.757, 0.338) [2 per cell]

Entry 6:
A relaxed SrSnPt2S crystal. Source: Alexandria, functional PBE-GGA.

Summary:
D(E_F) in states/eV/atom: 0.792
ΔE_f (raw) in eV per atom: -0.137
V in Å³ per cell: 118.17

a = 4.692 Å, b = 4.692 Å, c = 5.368 Å
α = 90.00°, β = 90.00°, γ = 90.00°
Space group P4/mmm (No. 123)
One atom of each set of equivalent atoms:
Sr (0.000, 0.000, 0.000) [1 per cell]
Sn (0.500, 0.500, 0.000) [1 per cell]
Pt (0.000, 0.500, 0.500) [2 per cell]
S (0.500, 0.500, 0.500) [1 per cell]

Entry 7:
A relaxed LiCeBiAu crystal. Source: Alexandria, functional PBE-GGA.

Summary:
D(E_F) in states/eV/atom: 1.780
Energy of formation from the pure elements in eV/atom: -0.60
V in Å³ per cell: 398.47

a = 7.359 Å, b = 7.359 Å, c = 7.359 Å
α = 90.00°, β = 90.00°, γ = 90.00°
Space group F-43m (No. 216)
One atom of each set of equivalent atoms:
Li (0.000, 0.000, 0.000) [4 per cell]
Ce (0.000, 0.000, 0.500) [4 per cell]
Bi (0.250, 0.250, 0.750) [4 per cell]
Au (0.250, 0.250, 0.250) [4 per cell]

Entry 8:
A relaxed Li2NdCd2Sn2 crystal. Source: Alexandria, functional PBE-GGA.

Summary:
D(E_F) in states/eV/atom: 0.326
Energy of formation from the pure elements in eV/atom: -0.44
V in Å³ per cell: 485.62

a = 4.7210 Å, b = 4.7210 Å, c = 25.1588 Å
α = 90.00°, β = 90.00°, γ = 120.00°
Space group R-3m (No. 166, hexagonal axes)
One atom of each set of equivalent atoms:
Li (0.0000, 0.0000, 0.1431) [6 per cell]
Nd (0.0000, 0.0000, 0.0000) [3 per cell]
Cd (0.0000, 0.0000, 0.4412) [6 per cell]
Sn (0.0000, 0.0000, 0.2628) [6 per cell]

Entry 9:
A relaxed CsThTe2Au crystal. Source: Alexandria, functional PBE-GGA.

Summary:
ΔE_f (raw) in eV per atom: -0.952
V in Å³ per cell: 436.92

a = 9.556 Å, b = 4.656 Å, c = 10.053 Å
α = 90.00°, β = 102.32°, γ = 90.00°
Space group P2_1/m (No. 11)
One atom of each set of equivalent atoms:
Cs (0.177, 0.250, 0.330) [2 per cell]
Th (0.305, 0.250, 0.863) [2 per cell]
Te (0.246, 0.750, 0.653) [2 per cell]
Te (0.358, 0.750, 0.090) [2 per cell]
Au (0.032, 0.250, 0.935) [2 per cell]

Entry 10:
A relaxed K2Li3SnF12 crystal. Source: Alexandria, functional PBE-GGA.

Summary:
D(E_F) in states/eV/atom: 0.663
ΔE_f (raw) in eV per atom: -2.233
V in Å³ per cell: 807.73

a = 7.0969 Å, b = 7.0969 Å, c = 18.5184 Å
α = 90.00°, β = 90.00°, γ = 120.00°
Space group R-3m (No. 166, hexagonal axes)
One atom of each set of equivalent atoms:
K (0.0000, 0.0000, 0.1091) [6 per cell]
Li (0.0000, 0.5000, 0.0000) [9 per cell]
Sn (0.0000, 0.0000, 0.5000) [3 per cell]
F (0.0217, 0.5108, 0.3532) [18 per cell]
F (0.0600, 0.5300, 0.1078) [18 per cell]

Entry 11:
A relaxed HoPaInHg crystal. Source: Alexandria, functional PBE-GGA.

Summary:
D(E_F) in states/eV/atom: 2.014
Energy of formation from the pure elements in eV/atom: -0.06
V in Å³ per cell: 419.65

a = 7.487 Å, b = 7.487 Å, c = 7.487 Å
α = 90.00°, β = 90.00°, γ = 90.00°
Space group F-43m (No. 216)
One atom of each set of equivalent atoms:
Ho (0.000, 0.000, 0.000) [4 per cell]
Pa (0.000, 0.000, 0.500) [4 per cell]
In (0.250, 0.250, 0.250) [4 per cell]
Hg (0.250, 0.250, 0.750) [4 per cell]

Entry 12:
A relaxed CaCuRe2 crystal. Source: Alexandria, functional PBE-GGA.

Summary:
D(E_F) in states/eV/atom: 1.019
Energy of formation from the pure elements in eV/atom: 0.54
V in Å³ per cell: 259.76

a = 6.381 Å, b = 6.381 Å, c = 6.381 Å
α = 90.00°, β = 90.00°, γ = 90.00°
Space group F-43m (No. 216)
One atom of each set of equivalent atoms:
Ca (0.000, 0.000, 0.000) [4 per cell]
Cu (0.250, 0.250, 0.250) [4 per cell]
Re (0.000, 0.000, 0.500) [4 per cell]
Re (0.250, 0.250, 0.750) [4 per cell]

Entry 13:
A relaxed SmZn6Pt2 crystal. Source: Alexandria, functional PBE-GGA.

Summary:
D(E_F) in states/eV/atom: 0.348
Energy of formation from the pure elements in eV/atom: -0.35
V in Å³ per cell: 312.67

a = 4.331 Å, b = 5.934 Å, c = 12.165 Å
α = 90.00°, β = 90.00°, γ = 90.00°
Space group Immm (No. 71)
One atom of each set of equivalent atoms:
Sm (0.000, 0.000, 0.000) [2 per cell]
Zn (0.000, 0.197, 0.500) [4 per cell]
Zn (0.000, 0.262, 0.302) [8 per cell]
Pt (0.000, 0.500, 0.119) [4 per cell]

Entry 14:
A relaxed LiCa2Y crystal. Source: Alexandria, functional PBE-GGA.

Summary:
D(E_F) in states/eV/atom: 0.759
Energy of formation from the pure elements in eV/atom: 0.09
V in Å³ per cell: 134.57

a = 4.080 Å, b = 4.080 Å, c = 8.082 Å
α = 90.00°, β = 90.00°, γ = 90.00°
Space group P4/mmm (No. 123)
One atom of each set of equivalent atoms:
Li (0.000, 0.000, 0.000) [1 per cell]
Ca (0.500, 0.500, 0.234) [2 per cell]
Y (0.000, 0.000, 0.500) [1 per cell]

Entry 15:
A relaxed AcLaPmLu crystal. Source: Alexandria, functional PBE-GGA.

Summary:
D(E_F) in states/eV/atom: 2.657
Energy of formation from the pure elements in eV/atom: 0.17
V in Å³ per cell: 588.94

a = 8.382 Å, b = 8.382 Å, c = 8.382 Å
α = 90.00°, β = 90.00°, γ = 90.00°
Space group F-43m (No. 216)
One atom of each set of equivalent atoms:
Ac (0.000, 0.000, 0.000) [4 per cell]
La (0.250, 0.250, 0.250) [4 per cell]
Pm (0.250, 0.250, 0.750) [4 per cell]
Lu (0.000, 0.000, 0.500) [4 per cell]

Entry 16:
A relaxed Sr2MnRe crystal. Source: Alexandria, functional PBE-GGA.

Summary:
D(E_F) in states/eV/atom: 4.501
Energy of formation from the pure elements in eV/atom: 1.72
V in Å³ per cell: 386.03

a = 7.281 Å, b = 7.281 Å, c = 7.281 Å
α = 90.00°, β = 90.00°, γ = 90.00°
Space group Fm-3m (No. 225)
One atom of each set of equivalent atoms:
Sr (0.250, 0.250, 0.250) [8 per cell]
Mn (0.000, 0.000, 0.000) [4 per cell]
Re (0.000, 0.000, 0.500) [4 per cell]

Entry 17:
A relaxed HfGaOsPd crystal. Source: Alexandria, functional PBE-GGA.

Summary:
D(E_F) in states/eV/atom: 0.717
Energy of formation from the pure elements in eV/atom: -0.50
V in Å³ per cell: 258.75

a = 6.372 Å, b = 6.372 Å, c = 6.372 Å
α = 90.00°, β = 90.00°, γ = 90.00°
Space group F-43m (No. 216)
One atom of each set of equivalent atoms:
Hf (0.000, 0.000, 0.000) [4 per cell]
Ga (0.000, 0.000, 0.500) [4 per cell]
Os (0.250, 0.250, 0.750) [4 per cell]
Pd (0.250, 0.250, 0.250) [4 per cell]

Entry 18:
A relaxed Pm5CoAu2 crystal. Source: Alexandria, functional PBE-GGA.

Summary:
D(E_F) in states/eV/atom: 0.983
Energy of formation from the pure elements in eV/atom: -0.46
V in Å³ per cell: 438.04

a = 8.978 Å, b = 12.022 Å, c = 4.058 Å
α = 90.00°, β = 90.00°, γ = 90.00°
Space group Pbam (No. 55)
One atom of each set of equivalent atoms:
Pm (0.000, 0.000, 0.000) [2 per cell]
Pm (0.144, 0.302, 0.000) [4 per cell]
Pm (0.175, 0.576, 0.500) [4 per cell]
Co (0.000, 0.500, 0.000) [2 per cell]
Au (0.071, 0.822, 0.500) [4 per cell]

Entry 19:
A relaxed Pm2Tc2NiN6 crystal. Source: Alexandria, functional PBE-GGA.

Summary:
D(E_F) in states/eV/atom: 0.175
ΔE_f (raw) in eV per atom: -0.154
V in Å³ per cell: 461.08

a = 5.8731 Å, b = 5.8731 Å, c = 15.4355 Å
α = 90.00°, β = 90.00°, γ = 120.00°
Space group R-3m (No. 166, hexagonal axes)
One atom of each set of equivalent atoms:
Pm (0.0000, 0.0000, 0.2033) [6 per cell]
Tc (0.0000, 0.0000, 0.4147) [6 per cell]
Ni (0.0000, 0.0000, 0.0000) [3 per cell]
N (0.0234, 0.5117, 0.7498) [18 per cell]

Entry 20:
A relaxed MgZr2Cd crystal. Source: Alexandria, functional PBE-GGA.

Summary:
D(E_F) in states/eV/atom: 1.188
Energy of formation from the pure elements in eV/atom: 0.02
V in Å³ per cell: 267.81

a = 3.0819 Å, b = 3.0819 Å, c = 32.5577 Å
α = 90.00°, β = 90.00°, γ = 120.00°
Space group R-3m (No. 166, hexagonal axes)
One atom of each set of equivalent atoms:
Mg (0.0000, 0.0000, 0.0000) [3 per cell]
Zr (0.0000, 0.0000, 0.2492) [6 per cell]
Cd (0.0000, 0.0000, 0.5000) [3 per cell]